## LaBe3In (PBE)

Data for LaBe3In after structural relaxation.

- space-group type = Pm-3m, No. 221
- crystal system = cubic
- uncorrected energy (eV per atom) = -1.993
- energy of formation (eV/atom) = 1.78

Cell lengths 5.1335, 5.1335, 5.1335 Å; angles 90.00, 90.00, 90.00 degrees
Fractional positions:
Be 0.0000 0.5000 0.0000
Be 0.0000 0.0000 0.5000
Be 0.5000 0.0000 0.0000
In 0.5000 0.5000 0.5000
La 0.0000 0.0000 0.0000



## La2BeIn (PBE)

Data for La2BeIn after structural relaxation.

- space-group type = Imm2, No. 44
- crystal system = orthorhombic
- uncorrected energy (eV per atom) = -4.208
- energy of formation (eV/atom) = -0.13

Cell lengths 6.1801, 6.1801, 5.1808 Å; angles 65.21, 65.21, 36.00 degrees
Fractional positions:
Be 0.5337 0.5337 0.4665
In 0.1962 0.1962 0.3036
La 0.9867 0.9867 0.0134
La 0.7834 0.7834 0.7164



## LaBeIn3 (PBE)

Data for LaBeIn3 after structural relaxation.

- space-group type = Pm-3m, No. 221
- crystal system = cubic
- uncorrected energy (eV per atom) = -2.097
- energy of formation (eV/atom) = 1.28

Cell lengths 6.1851, 6.1851, 6.1851 Å; angles 90.00, 90.00, 90.00 degrees
Fractional positions:
Be 0.5000 0.5000 0.5000
In 0.0000 0.5000 0.0000
In 0.0000 0.0000 0.5000
In 0.5000 0.0000 0.0000
La 0.0000 0.0000 0.0000



## LaBeIn (PBE)

Data for LaBeIn after structural relaxation.

- space-group type = F-43m, No. 216
- crystal system = cubic
- uncorrected energy (eV per atom) = -3.224
- energy of formation (eV/atom) = 0.57

Cell lengths 5.0316, 5.0316, 5.0316 Å; angles 60.00, 60.00, 60.00 degrees
Fractional positions:
Be 0.7500 0.7500 0.7500
In 0.2500 0.2500 0.2500
La 0.5000 0.5000 0.5000



## LaBeIn (PBE)

Data for LaBeIn after structural relaxation.

- space-group type = P-6m2, No. 187
- crystal system = hexagonal
- uncorrected energy (eV per atom) = -3.953
- energy of formation (eV/atom) = -0.16

Cell lengths 4.3510, 4.3510, 4.5398 Å; angles 90.00, 90.00, 120.00 degrees
Last column: magnetic moment on the atom in μB.
Fractional positions:
Be 0.0000 0.0000 0.1660  0.05
In 0.6667 0.3333 0.1670  0.00
La 0.3333 0.6667 0.6670  0.10



## LaBeIn (PBE)

Data for LaBeIn after structural relaxation.

- space-group type = Pnma, No. 62
- crystal system = orthorhombic
- uncorrected energy (eV per atom) = -3.797
- energy of formation (eV/atom) = 0.00

Cell lengths 6.0647, 4.2121, 11.8630 Å; angles 90.00, 90.00, 90.00 degrees
Fractional positions:
Be 0.0629 0.2500 0.6502
Be 0.4371 0.7500 0.1502
Be 0.9371 0.7500 0.3498
Be 0.5629 0.2500 0.8498
In 0.8365 0.2500 0.4581
In 0.6635 0.7500 0.9581
In 0.1635 0.7500 0.5419
In 0.3365 0.2500 0.0419
La 0.3548 0.2500 0.3432
La 0.1452 0.7500 0.8432
La 0.6452 0.7500 0.6568
La 0.8548 0.2500 0.1568



| no. | volume (Å³/cell) |
| --- | --- |
| 1 | 135.3 |
| 2 | 104.4 |
| 3 | 236.6 |
| 4 | 90.1 |
| 5 | 74.4 |
| 6 | 303.0 |